Below is a geometry-optimized NbSeSCl2 structure, with properties calculated at the GGA-PBE level.

Cell and atoms, written as POSCAR:
```
NbSeSCl2
1.0
-4.642 -0.899 -1.499
-1.325 -0.964 4.681
-1.143 4.795 0.664
Cl S Nb Se
2 1 1 1
Direct
0.000 0.500 0.000
0.500 0.000 0.000
0.000 0.000 0.500
0.500 0.500 0.500
0.000 0.000 0.000
```

For the total magnetic moment, the calculation gives 3.5 μB per formula unit. The formation energy from raw total energies comes out at 3.87 eV per formula unit. As for the excess energy over the best structure of this formula in the dataset: 958 meV per atom.